Er3Ti5Pd12 | PBE | relaxed

Values from the calculation:
Space-group type = No. 230
Theoretical density = 7.69 Mg/m³
Energy of formation from the pure elements = -0.05 eV per atom
Total moment = 0.00 μB per atom
Volume = 21.8 Å³ per atom

CIF file:
```
data_Er3Ti5Pd12
_symmetry_space_group_name_H-M 'P 1'
_symmetry_Int_Tables_number 1
_symmetry_space_group_name_Hall 'P 1'
_cell_length_a 13.1301
_cell_length_b 13.1301
_cell_length_c 13.1301
_cell_angle_alpha 109.47
_cell_angle_beta 109.47
_cell_angle_gamma 109.47
loop_
_atom_site_label
_atom_site_type_symbol
_atom_site_fract_x
_atom_site_fract_y
_atom_site_fract_z
_atom_site_occupancy
Pd1 Pd 0.3672 0.9447 0.7769 1
Pd2 Pd 0.0553 0.4224 0.8322 1
Pd3 Pd 0.8322 0.9098 0.2769 1
Pd4 Pd 0.9447 0.5776 0.1678 1
Pd5 Pd 0.0553 0.6328 0.7231 1
Pd6 Pd 0.9224 0.0902 0.8672 1
Pd7 Pd 0.2769 0.8672 0.9447 1
Pd8 Pd 0.7769 0.4447 0.3672 1
Pd9 Pd 0.7231 0.1328 0.0553 1
Pd10 Pd 0.8672 0.5902 0.9224 1
Pd11 Pd 0.3672 0.4224 0.0902 1
Pd12 Pd 0.9098 0.0776 0.6328 1
Pd13 Pd 0.6328 0.0553 0.2231 1
Pd14 Pd 0.5902 0.8672 0.4224 1
Pd15 Pd 0.0902 0.9224 0.3672 1
Pd16 Pd 0.3322 0.7769 0.4098 1
Pd17 Pd 0.0902 0.1678 0.2231 1
Pd18 Pd 0.7231 0.5902 0.1678 1
Pd19 Pd 0.6678 0.4447 0.5776 1
Pd20 Pd 0.5902 0.7231 0.6678 1
Pd21 Pd 0.5553 0.3322 0.9224 1
Pd22 Pd 0.2231 0.5553 0.6328 1
Pd23 Pd 0.2231 0.6678 0.0902 1
Pd24 Pd 0.4447 0.6678 0.0776 1
Pd25 Pd 0.0776 0.9098 0.1328 1
Pd26 Pd 0.7769 0.3322 0.9098 1
Pd27 Pd 0.9447 0.3672 0.2769 1
Pd28 Pd 0.8672 0.2769 0.4447 1
Pd29 Pd 0.1678 0.0902 0.7231 1
Pd30 Pd 0.8322 0.9224 0.0553 1
Pd31 Pd 0.4098 0.1328 0.5776 1
Pd32 Pd 0.1328 0.4098 0.0776 1
Pd33 Pd 0.1678 0.0776 0.9447 1
Pd34 Pd 0.2769 0.4098 0.8322 1
Pd35 Pd 0.4098 0.2769 0.3322 1
Pd36 Pd 0.9224 0.8322 0.5553 1
Pd37 Pd 0.3322 0.5553 0.4224 1
Pd38 Pd 0.1328 0.7231 0.5553 1
Pd39 Pd 0.5776 0.9447 0.6678 1
Pd40 Pd 0.9098 0.8322 0.7769 1
Pd41 Pd 0.4224 0.0553 0.3322 1
Pd42 Pd 0.5776 0.6328 0.4098 1
Pd43 Pd 0.6328 0.5776 0.9098 1
Pd44 Pd 0.0776 0.1678 0.4447 1
Pd45 Pd 0.5553 0.2231 0.1328 1
Pd46 Pd 0.4447 0.7769 0.8672 1
Pd47 Pd 0.4224 0.3672 0.5902 1
Pd48 Pd 0.6678 0.2231 0.5902 1
Ti1 Ti 0.5000 0.0000 0.0000 1
Ti2 Ti 0.7500 0.1250 0.8750 1
Ti3 Ti 0.0000 0.0000 0.0000 1
Ti4 Ti 0.1250 0.7500 0.3750 1
Ti5 Ti 0.0000 0.0000 0.5000 1
Ti6 Ti 0.6250 0.7500 0.8750 1
Ti7 Ti 0.5000 0.0000 0.5000 1
Ti8 Ti 0.8750 0.6250 0.7500 1
Ti9 Ti 0.7500 0.6250 0.3750 1
Ti10 Ti 0.0000 0.5000 0.5000 1
Ti11 Ti 0.5000 0.5000 0.5000 1
Ti12 Ti 0.6250 0.8750 0.2500 1
Ti13 Ti 0.2500 0.8750 0.1250 1
Ti14 Ti 0.3750 0.1250 0.7500 1
Ti15 Ti 0.2500 0.3750 0.6250 1
Ti16 Ti 0.0000 0.5000 0.0000 1
Ti17 Ti 0.8750 0.2500 0.6250 1
Ti18 Ti 0.5000 0.5000 0.0000 1
Ti19 Ti 0.3750 0.2500 0.1250 1
Ti20 Ti 0.1250 0.3750 0.2500 1
Er1 Er 0.8750 0.1250 0.2500 1
Er2 Er 0.1250 0.8750 0.7500 1
Er3 Er 0.6250 0.2500 0.3750 1
Er4 Er 0.3750 0.6250 0.2500 1
Er5 Er 0.2500 0.1250 0.3750 1
Er6 Er 0.6250 0.3750 0.7500 1
Er7 Er 0.2500 0.6250 0.8750 1
Er8 Er 0.8750 0.7500 0.1250 1
Er9 Er 0.7500 0.8750 0.6250 1
Er10 Er 0.1250 0.2500 0.8750 1
Er11 Er 0.3750 0.7500 0.6250 1
Er12 Er 0.7500 0.3750 0.1250 1
```

CaNd3S4 | PBE | relaxed

Values from the calculation:
Space-group type = No. 221
Total DFT energy (no corrections) = -49.11 eV per cell
Theoretical density = 5.27 Mg/m³
Total moment = 0.00 μB per atom
Volume = 23.7 Å³ per atom

CIF file:
```
data_CaNd3S4
_symmetry_space_group_name_H-M 'P 1'
_symmetry_Int_Tables_number 1
_symmetry_space_group_name_Hall 'P 1'
_cell_length_a 5.7425
_cell_length_b 5.7425
_cell_length_c 5.7425
_cell_angle_alpha 90.00
_cell_angle_beta 90.00
_cell_angle_gamma 90.00
loop_
_atom_site_label
_atom_site_type_symbol
_atom_site_fract_x
_atom_site_fract_y
_atom_site_fract_z
_atom_site_occupancy
Ca1 Ca 0.0000 0.0000 0.0000 1
S1 S 0.0000 0.0000 0.5000 1
S2 S 0.0000 0.5000 0.0000 1
S3 S 0.5000 0.5000 0.5000 1
S4 S 0.5000 0.0000 0.0000 1
Nd1 Nd 0.0000 0.5000 0.5000 1
Nd2 Nd 0.5000 0.0000 0.5000 1
Nd3 Nd 0.5000 0.5000 0.0000 1
```

Ba2PdPt3Pb4 | PBE | relaxed

Values from the calculation:
Space-group type = No. 115
Theoretical density = 11.11 Mg/m³
Energy of formation from the pure elements = -0.53 eV per atom
Total moment = 0.00 μB per atom
Volume = 26.8 Å³ per atom

CIF file:
```
data_Ba2PdPt3Pb4
_symmetry_space_group_name_H-M 'P 1'
_symmetry_Int_Tables_number 1
_symmetry_space_group_name_Hall 'P 1'
_cell_length_a 4.9764
_cell_length_b 4.9764
_cell_length_c 10.8387
_cell_angle_alpha 90.00
_cell_angle_beta 90.00
_cell_angle_gamma 90.00
loop_
_atom_site_label
_atom_site_type_symbol
_atom_site_fract_x
_atom_site_fract_y
_atom_site_fract_z
_atom_site_occupancy
Pt1 Pt 0.0000 0.5000 0.1287 1
Pt2 Pt 0.5000 0.0000 0.8713 1
Pt3 Pt 0.0000 0.0000 0.5000 1
Ba1 Ba 0.5000 0.0000 0.2579 1
Ba2 Ba 0.0000 0.5000 0.7421 1
Pb1 Pb 0.5000 0.0000 0.6154 1
Pb2 Pb 0.0000 0.0000 0.0000 1
Pb3 Pb 0.5000 0.5000 0.0000 1
Pb4 Pb 0.0000 0.5000 0.3846 1
Pd1 Pd 0.5000 0.5000 0.5000 1
```

Ba2GeRuO6 | PBE | relaxed

Values from the calculation:
Space-group type = No. 225
Total DFT energy (no corrections) = -65.95 eV per cell
Theoretical density = 6.89 Mg/m³
Total moment = 0.24 μB per atom
Volume = 13.1 Å³ per atom

CIF file:
```
data_Ba2GeRuO6
_symmetry_space_group_name_H-M 'P 1'
_symmetry_Int_Tables_number 1
_symmetry_space_group_name_Hall 'P 1'
_cell_length_a 5.7053
_cell_length_b 5.7053
_cell_length_c 5.7043
_cell_angle_alpha 60.00
_cell_angle_beta 60.00
_cell_angle_gamma 90.01
loop_
_atom_site_label
_atom_site_type_symbol
_atom_site_fract_x
_atom_site_fract_y
_atom_site_fract_z
_atom_site_occupancy
Ru1 Ru 0.0000 0.0000 0.0000 1
Ge1 Ge 0.5000 0.5000 0.0000 1
O1 O 0.7441 0.2557 0.0000 1
O2 O 0.7443 0.7443 0.5114 1
O3 O 0.2557 0.2557 0.4886 1
O4 O 0.7444 0.7442 0.9999 1
O5 O 0.2559 0.7443 0.0000 1
O6 O 0.2556 0.2558 0.0001 1
Ba1 Ba 0.7500 0.2500 0.5000 1
Ba2 Ba 0.2500 0.7500 0.5000 1
```

Ba2In3BiPt4 | PBE | relaxed

Values from the calculation:
Space-group type = No. 115
Theoretical density = 10.42 Mg/m³
Energy of formation from the pure elements = -0.66 eV per atom
Total moment = 0.00 μB per atom
Volume = 25.6 Å³ per atom

CIF file:
```
data_Ba2In3BiPt4
_symmetry_space_group_name_H-M 'P 1'
_symmetry_Int_Tables_number 1
_symmetry_space_group_name_Hall 'P 1'
_cell_length_a 4.8955
_cell_length_b 4.8955
_cell_length_c 10.6963
_cell_angle_alpha 90.00
_cell_angle_beta 90.00
_cell_angle_gamma 90.00
loop_
_atom_site_label
_atom_site_type_symbol
_atom_site_fract_x
_atom_site_fract_y
_atom_site_fract_z
_atom_site_occupancy
Pt1 Pt 0.5000 0.5000 0.0000 1
Pt2 Pt 0.0000 0.0000 0.0000 1
Pt3 Pt 0.5000 0.0000 0.6293 1
Pt4 Pt 0.0000 0.5000 0.3707 1
Bi1 Bi 0.5000 0.5000 0.5000 1
In1 In 0.0000 0.0000 0.5000 1
In2 In 0.5000 0.0000 0.8831 1
In3 In 0.0000 0.5000 0.1169 1
Ba1 Ba 0.0000 0.5000 0.7636 1
Ba2 Ba 0.5000 0.0000 0.2364 1
```

CrGaSbI2 | PBE | relaxed

Values from the calculation:
Space-group type = No. 123
Total DFT energy (no corrections) = -16.73 eV per cell
Theoretical density = 4.75 Mg/m³
Total moment = 0.77 μB per atom
Volume = 34.8 Å³ per atom

CIF file:
```
data_CrGaSbI2
_symmetry_space_group_name_H-M 'P 1'
_symmetry_Int_Tables_number 1
_symmetry_space_group_name_Hall 'P 1'
_cell_length_a 5.6654
_cell_length_b 5.6654
_cell_length_c 5.4173
_cell_angle_alpha 90.00
_cell_angle_beta 90.00
_cell_angle_gamma 90.00
loop_
_atom_site_label
_atom_site_type_symbol
_atom_site_fract_x
_atom_site_fract_y
_atom_site_fract_z
_atom_site_occupancy
I1 I 0.5000 0.0000 0.0000 1
I2 I 0.0000 0.5000 0.0000 1
Cr1 Cr 0.5000 0.5000 0.5000 1
Sb1 Sb 0.0000 0.0000 0.5000 1
Ga1 Ga 0.0000 0.0000 0.0000 1
```

Zr4Pd3Pt2 | PBE | relaxed

Values from the calculation:
Space-group type = No. 12
Theoretical density = 10.84 Mg/m³
Energy of formation from the pure elements = -0.75 eV per atom
Total moment = 0.00 μB per atom
Volume = 18.3 Å³ per atom

CIF file:
```
data_Zr4Pd3Pt2
_symmetry_space_group_name_H-M 'P 1'
_symmetry_Int_Tables_number 1
_symmetry_space_group_name_Hall 'P 1'
_cell_length_a 4.2372
_cell_length_b 4.9386
_cell_length_c 8.9406
_cell_angle_alpha 78.11
_cell_angle_beta 90.00
_cell_angle_gamma 64.60
loop_
_atom_site_label
_atom_site_type_symbol
_atom_site_fract_x
_atom_site_fract_y
_atom_site_fract_z
_atom_site_occupancy
Zr1 Zr 0.3354 0.3293 0.1142 1
Zr2 Zr 0.0269 0.9462 0.3369 1
Zr3 Zr 0.6646 0.6707 0.8858 1
Zr4 Zr 0.9731 0.0538 0.6631 1
Pd1 Pd 0.6593 0.6815 0.5490 1
Pd2 Pd 0.3407 0.3185 0.4510 1
Pd3 Pd 0.0000 0.0000 0.0000 1
Pt1 Pt 0.6739 0.6523 0.2108 1
Pt2 Pt 0.3261 0.3477 0.7892 1
```

CeMg3Ru | PBE | relaxed

Values from the calculation:
Space-group type = No. 11
Theoretical density = 4.64 Mg/m³
Energy of formation from the pure elements = -0.21 eV per atom
Total moment = 0.00 μB per atom
Volume = 22.5 Å³ per atom

CIF file:
```
data_CeMg3Ru
_symmetry_space_group_name_H-M 'P 1'
_symmetry_Int_Tables_number 1
_symmetry_space_group_name_Hall 'P 1'
_cell_length_a 5.2649
_cell_length_b 5.9673
_cell_length_c 7.9951
_cell_angle_alpha 90.00
_cell_angle_beta 116.44
_cell_angle_gamma 90.00
loop_
_atom_site_label
_atom_site_type_symbol
_atom_site_fract_x
_atom_site_fract_y
_atom_site_fract_z
_atom_site_occupancy
Ce1 Ce 0.3443 0.4476 0.7039 1
Ce2 Ce 0.6900 0.9476 0.8567 1
Mg1 Mg 0.3083 0.6979 0.0774 1
Mg2 Mg 0.1413 0.9476 0.3786 1
Mg3 Mg 0.8931 0.4476 0.1820 1
Mg4 Mg 0.7260 0.1979 0.4832 1
Mg5 Mg 0.7260 0.6973 0.4832 1
Mg6 Mg 0.3083 0.1973 0.0774 1
Ru1 Ru 0.8317 0.4476 0.8014 1
Ru2 Ru 0.2026 0.9476 0.7592 1
```

Zr4Cd3Mo | PBE | relaxed

Values from the calculation:
Space-group type = No. 123
Theoretical density = 7.75 Mg/m³
Energy of formation from the pure elements = -0.09 eV per atom
Total moment = 0.00 μB per atom
Volume = 21.4 Å³ per atom

CIF file:
```
data_Zr4Cd3Mo
_symmetry_space_group_name_H-M 'P 1'
_symmetry_Int_Tables_number 1
_symmetry_space_group_name_Hall 'P 1'
_cell_length_a 3.3703
_cell_length_b 3.3703
_cell_length_c 15.0540
_cell_angle_alpha 90.00
_cell_angle_beta 90.00
_cell_angle_gamma 90.00
loop_
_atom_site_label
_atom_site_type_symbol
_atom_site_fract_x
_atom_site_fract_y
_atom_site_fract_z
_atom_site_occupancy
Cd1 Cd 0.5000 0.5000 0.7610 1
Cd2 Cd 0.5000 0.5000 0.2390 1
Cd3 Cd 0.5000 0.5000 0.5000 1
Zr1 Zr 0.0000 0.0000 0.3687 1
Zr2 Zr 0.0000 0.0000 0.6313 1
Zr3 Zr 0.0000 0.0000 0.1043 1
Zr4 Zr 0.0000 0.0000 0.8957 1
Mo1 Mo 0.5000 0.5000 0.0000 1
```

RbCCl2 | PBE | relaxed

Values from the calculation:
Space-group type = No. 166
Total DFT energy (no corrections) = -11.81 eV per cell
Theoretical density = 1.63 Mg/m³
Total moment = 0.25 μB per atom
Volume = 42.8 Å³ per atom

CIF file:
```
data_RbCCl2
_symmetry_space_group_name_H-M 'P 1'
_symmetry_Int_Tables_number 1
_symmetry_space_group_name_Hall 'P 1'
_cell_length_a 7.9597
_cell_length_b 7.9597
_cell_length_c 7.9597
_cell_angle_alpha 37.97
_cell_angle_beta 37.97
_cell_angle_gamma 37.97
loop_
_atom_site_label
_atom_site_type_symbol
_atom_site_fract_x
_atom_site_fract_y
_atom_site_fract_z
_atom_site_occupancy
Cl1 Cl 0.0977 0.0977 0.0977 1
Cl2 Cl 0.9023 0.9023 0.9023 1
C1 C 0.0000 0.0000 0.0000 1
Rb1 Rb 0.5000 0.5000 0.5000 1
```